Record 1
First-principles (SCAN) data for KBeRh2 at its PBEsol-relaxed geometry, as listed in the Alexandria database.

Cell and atoms, written as CIF:
```
data_KBeRh2
_cell_length_a 4.804
_cell_length_b 2.706
_cell_length_c 4.968
_cell_angle_alpha 90.00
_cell_angle_beta 112.13
_cell_angle_gamma 90.00
_symmetry_space_group_name_H-M 'P 1 2/m 1'
_symmetry_Int_Tables_number 10
_symmetry_space_group_name_Hall '-P 2y'
loop_
_atom_site_label
_atom_site_type_symbol
_atom_site_fract_x
_atom_site_fract_y
_atom_site_fract_z
K1 K 0.000 0.000 0.000
Be1 Be 0.000 0.500 0.500
Rh1 Rh 0.500 0.000 0.500
Rh2 Rh 0.500 0.500 0.000
```

Record 2
First-principles (SCAN) data for KBeRu2 at its PBEsol-relaxed geometry, as listed in the Alexandria database.

Cell and atoms, written as CIF:
```
data_KBeRu2
_cell_length_a 2.563
_cell_length_b 4.837
_cell_length_c 9.742
_cell_angle_alpha 90.00
_cell_angle_beta 90.00
_cell_angle_gamma 90.00
_symmetry_space_group_name_H-M 'I m m m'
_symmetry_Int_Tables_number 71
_symmetry_space_group_name_Hall '-I 2 2'
loop_
_atom_site_label
_atom_site_type_symbol
_atom_site_fract_x
_atom_site_fract_y
_atom_site_fract_z
K1 K 0.000 0.000 0.000
Be1 Be 0.000 0.000 0.500
Ru1 Ru 0.000 0.500 0.207
```

It is found that the E_form values, taken in the order of the records, are 0.76; 0.79 eV per atom.